YTmIn4Pd2: optimized geometry, PBE.

a = 7.519 Å, b = 5.734 Å, c = 5.734 Å
α = 45.77°, β = 90.00°, γ = 90.00°
Fractional coordinates of all 8 atoms:
Pd 0.000 0.289 0.289
In 0.702 0.137 0.137
In 0.298 0.137 0.137
In 0.799 0.863 0.863
Y 0.500 0.427 0.427
In 0.201 0.863 0.863
Tm 0.000 0.573 0.573
Pd 0.500 0.712 0.712

* V: 22.140 Å³ per atom
* E: -4.669 eV per atom